# TiBr2O, optimized geometry, DFT PBEsol
# Symmetry: No. 122
# E_form (uncorrected) (eV per atom): -1.5689
data_TiBr2O
_cell_length_a 7.056
_cell_length_b 7.056
_cell_length_c 7.056
_cell_angle_alpha 93.90
_cell_angle_beta 93.90
_cell_angle_gamma 149.77
_symmetry_space_group_name_H-M 'P 1'
_symmetry_Int_Tables_number 1
loop_
_symmetry_equiv_pos_as_xyz
'x,y,z'
loop_
_atom_site_label
_atom_site_type_symbol
_atom_site_fract_x
_atom_site_fract_y
_atom_site_fract_z
_atom_site_occupancy
Ti1 Ti 0.000 0.000 0.000 1
Ti2 Ti 0.750 0.250 0.500 1
Br1 Br 0.375 0.035 0.160 1
Br2 Br 0.785 0.625 0.660 1
Br3 Br 0.875 0.215 0.840 1
Br4 Br 0.965 0.125 0.340 1
O1 O 0.250 0.750 0.500 1
O2 O 0.500 0.500 0.000 1

***

# KTl2Au, optimized geometry, DFT PBEsol
# Symmetry: No. 166
# DFT formation energy (eV per atom): -0.08
data_KTl2Au
_cell_length_a 7.971
_cell_length_b 7.971
_cell_length_c 7.971
_cell_angle_alpha 31.81
_cell_angle_beta 31.81
_cell_angle_gamma 31.81
_symmetry_space_group_name_H-M 'P 1'
_symmetry_Int_Tables_number 1
loop_
_symmetry_equiv_pos_as_xyz
'x,y,z'
loop_
_atom_site_label
_atom_site_type_symbol
_atom_site_fract_x
_atom_site_fract_y
_atom_site_fract_z
_atom_site_occupancy
K1 K 0.000 0.000 0.000 1
Tl1 Tl 0.226 0.226 0.226 1
Tl2 Tl 0.774 0.774 0.774 1
Au1 Au 0.500 0.500 0.500 1

***

# KAl2Ir, optimized geometry, DFT PBEsol
# Symmetry: No. 47
# DFT formation energy (eV per atom): 0.62
data_KAl2Ir
_cell_length_a 2.981
_cell_length_b 4.704
_cell_length_c 5.158
_cell_angle_alpha 90.00
_cell_angle_beta 90.00
_cell_angle_gamma 90.00
_symmetry_space_group_name_H-M 'P 1'
_symmetry_Int_Tables_number 1
loop_
_symmetry_equiv_pos_as_xyz
'x,y,z'
loop_
_atom_site_label
_atom_site_type_symbol
_atom_site_fract_x
_atom_site_fract_y
_atom_site_fract_z
_atom_site_occupancy
K1 K 0.000 0.000 0.000 1
Al1 Al 0.000 0.500 0.500 1
Al2 Al 0.500 0.500 0.000 1
Ir1 Ir 0.500 0.000 0.500 1

***

- Which formula does entry 3 have?
  KAl2Ir